# Cd2Ge2Se | Alexandria | PBE | relaxed
data_Cd2Ge2Se
_cell_length_a 7.279
_cell_length_b 7.279
_cell_length_c 4.338
_cell_angle_alpha 90.00
_cell_angle_beta 90.00
_cell_angle_gamma 90.00
_space_group_name_H-M_alt 'P 4/m b m'
_space_group_IT_number 127
_space_group_name_Hall '-P 4 2ab'
loop_
_atom_site_label
_atom_site_type_symbol
_atom_site_fract_x
_atom_site_fract_y
_atom_site_fract_z
Cd1 Cd 0.176 0.324 0.000
Ge1 Ge 0.132 0.632 0.500
Se1 Se 0.000 0.000 0.500
# E_form (uncorrected) (eV per atom): 0.172
# Calculated total energy (eV per atom): -2.738
# Energy relative to the lowest polymorph listed for this composition (eV per atom): 0.000
# Spin magnetization (μB per cell): 0.000

***

# Tl2SiSb | Alexandria | PBE | relaxed
data_Tl2SiSb
_cell_length_a 3.873
_cell_length_b 5.276
_cell_length_c 11.461
_cell_angle_alpha 90.00
_cell_angle_beta 90.00
_cell_angle_gamma 90.00
_space_group_name_H-M_alt 'I m m 2'
_space_group_IT_number 44
loop_
_space_group_symop_operation_xyz
'x,y,z'
'-x,-y,z'
'-x,y,z'
'x,-y,z'
'x+1/2,y+1/2,z+1/2'
'-x+1/2,-y+1/2,z+1/2'
'-x+1/2,y+1/2,z+1/2'
'x+1/2,-y+1/2,z+1/2'
loop_
_atom_site_label
_atom_site_type_symbol
_atom_site_fract_x
_atom_site_fract_y
_atom_site_fract_z
Tl1 Tl 0.000 0.000 0.000
Tl2 Tl 0.000 0.500 0.206
Si1 Si 0.000 0.000 0.455
Sb1 Sb 0.000 0.500 0.798
# E_form (uncorrected) (eV per atom): 0.204
# Calculated total energy (eV per atom): -3.365
# Energy relative to the lowest polymorph listed for this composition (eV per atom): 0.053
# Spin magnetization (μB per cell): 0.000

***

# NaLi2NdCl6 | Alexandria | PBE | relaxed
data_NaLi2NdCl6
_cell_length_a 6.7915
_cell_length_b 6.7915
_cell_length_c 18.4208
_cell_angle_alpha 90.00
_cell_angle_beta 90.00
_cell_angle_gamma 120.00
_space_group_name_H-M_alt 'R 3'
_space_group_IT_number 146
_space_group_name_Hall 'R 3'
loop_
_atom_site_label
_atom_site_type_symbol
_atom_site_fract_x
_atom_site_fract_y
_atom_site_fract_z
Na1 Na 0.0000 0.0000 0.0000
Li1 Li 0.0000 0.0000 0.2934
Li2 Li 0.0000 0.0000 0.7940
Nd1 Nd 0.0000 0.0000 0.4947
Cl1 Cl 0.0085 0.3668 0.5597
Cl2 Cl 0.0111 0.6284 0.0611
# E_form (uncorrected) (eV per atom): -1.978
# Calculated total energy (eV per atom): -4.077
# Spin magnetization (μB per cell): 0.000

***

# Tb3Hg2Pd3 | Alexandria | PBE | relaxed
data_Tb3Hg2Pd3
_cell_length_a 3.635
_cell_length_b 4.959
_cell_length_c 19.628
_cell_angle_alpha 90.00
_cell_angle_beta 90.00
_cell_angle_gamma 90.00
_space_group_name_H-M_alt 'I m m m'
_space_group_IT_number 71
_space_group_name_Hall '-I 2 2'
loop_
_atom_site_label
_atom_site_type_symbol
_atom_site_fract_x
_atom_site_fract_y
_atom_site_fract_z
Tb1 Tb 0.000 0.000 0.000
Tb2 Tb 0.000 0.500 0.128
Hg1 Hg 0.000 0.000 0.234
Pd1 Pd 0.000 0.000 0.500
Pd2 Pd 0.000 0.500 0.385
# Calculated total energy (eV per atom): -4.433
# Energy relative to the lowest polymorph listed for this composition (eV per atom): 0.000
# Spin magnetization (μB per cell): 0.000

***

# Ba3NaIn | Alexandria | PBE | relaxed
data_Ba3NaIn
_cell_length_a 6.825
_cell_length_b 6.825
_cell_length_c 6.825
_cell_angle_alpha 90.00
_cell_angle_beta 90.00
_cell_angle_gamma 90.00
_space_group_name_H-M_alt 'P m -3 m'
_space_group_IT_number 221
_space_group_name_Hall '-P 4 2 3'
loop_
_atom_site_label
_atom_site_type_symbol
_atom_site_fract_x
_atom_site_fract_y
_atom_site_fract_z
Ba1 Ba 0.000 0.000 0.500
Na1 Na 0.500 0.500 0.500
In1 In 0.000 0.000 0.000
# Calculated total energy (eV per atom): -1.986
# Energy relative to the lowest polymorph listed for this composition (eV per atom): 0.149
# Spin magnetization (μB per cell): 0.000

***

# Pu2SnB2Ru5 | Alexandria | PBE | relaxed
data_Pu2SnB2Ru5
_cell_length_a 9.765
_cell_length_b 9.765
_cell_length_c 3.134
_cell_angle_alpha 90.00
_cell_angle_beta 90.00
_cell_angle_gamma 90.00
_space_group_name_H-M_alt 'P 4/m b m'
_space_group_IT_number 127
_space_group_name_Hall '-P 4 2ab'
loop_
_atom_site_label
_atom_site_type_symbol
_atom_site_fract_x
_atom_site_fract_y
_atom_site_fract_z
Pu1 Pu 0.176 0.324 0.000
Sn1 Sn 0.000 0.000 0.000
B1 B 0.121 0.621 0.000
Ru1 Ru 0.000 0.500 0.500
Ru2 Ru 0.071 0.775 0.500
# Calculated total energy (eV per atom): -9.599
# Spin magnetization (μB per cell): 16.036

***

# HgAsSe2 | Alexandria | PBE | relaxed
data_HgAsSe2
_cell_length_a 2.847
_cell_length_b 5.123
_cell_length_c 8.257
_cell_angle_alpha 90.00
_cell_angle_beta 90.08
_cell_angle_gamma 90.00
_space_group_name_H-M_alt 'P 1 m 1'
_space_group_IT_number 6
loop_
_space_group_symop_operation_xyz
'x,y,z'
'x,-y,z'
loop_
_atom_site_label
_atom_site_type_symbol
_atom_site_fract_x
_atom_site_fract_y
_atom_site_fract_z
Hg1 Hg 0.000 0.000 0.000
As1 As 0.999 0.500 0.490
Se1 Se 0.000 0.500 0.780
Se2 Se 0.998 0.000 0.400
# E_form (uncorrected) (eV per atom): 0.053
# Calculated total energy (eV per atom): -2.927
# Energy relative to the lowest polymorph listed for this composition (eV per atom): 0.120
# Spin magnetization (μB per cell): 0.000

***

# ZrTc2Rh | Alexandria | PBE | relaxed
data_ZrTc2Rh
_cell_length_a 9.538
_cell_length_b 2.890
_cell_length_c 4.782
_cell_angle_alpha 90.00
_cell_angle_beta 100.48
_cell_angle_gamma 90.00
_space_group_name_H-M_alt 'C 1 2/m 1'
_space_group_IT_number 12
loop_
_space_group_symop_operation_xyz
'x,y,z'
'-x,-y,-z'
'-x,y,-z'
'x,-y,z'
'x+1/2,y+1/2,z'
'-x+1/2,-y+1/2,-z'
'-x+1/2,y+1/2,-z'
'x+1/2,-y+1/2,z'
loop_
_atom_site_label
_atom_site_type_symbol
_atom_site_fract_x
_atom_site_fract_y
_atom_site_fract_z
Zr1 Zr 0.000 0.000 0.000
Tc1 Tc 0.233 0.000 0.724
Rh1 Rh 0.000 0.500 0.500
# Calculated total energy (eV per atom): -9.249
# Energy relative to the lowest polymorph listed for this composition (eV per atom): 0.073
# Spin magnetization (μB per cell): 0.000

***

# Sr2CdAg | Alexandria | PBE | relaxed
data_Sr2CdAg
_cell_length_a 7.930
_cell_length_b 4.542
_cell_length_c 8.659
_cell_angle_alpha 90.00
_cell_angle_beta 107.49
_cell_angle_gamma 90.00
_space_group_name_H-M_alt 'C 1 2/m 1'
_space_group_IT_number 12
loop_
_space_group_symop_operation_xyz
'x,y,z'
'-x,-y,-z'
'-x,y,-z'
'x,-y,z'
'x+1/2,y+1/2,z'
'-x+1/2,-y+1/2,-z'
'-x+1/2,y+1/2,-z'
'x+1/2,-y+1/2,z'
loop_
_atom_site_label
_atom_site_type_symbol
_atom_site_fract_x
_atom_site_fract_y
_atom_site_fract_z
Sr1 Sr 0.242 0.000 0.227
Cd1 Cd 0.000 0.000 0.500
Ag1 Ag 0.000 0.500 0.000
# Calculated total energy (eV per atom): -1.954
# Spin magnetization (μB per cell): 0.000

***

# Nd5Ag2Pt2 | Alexandria | PBE | relaxed
data_Nd5Ag2Pt2
_cell_length_a 19.773
_cell_length_b 6.618
_cell_length_c 7.519
_cell_angle_alpha 90.00
_cell_angle_beta 90.00
_cell_angle_gamma 90.00
_space_group_name_H-M_alt 'I m a 2'
_space_group_IT_number 46
loop_
_space_group_symop_operation_xyz
'x,y,z'
'-x,-y,z'
'-x+1/2,y,z'
'x+1/2,-y,z'
'x+1/2,y+1/2,z+1/2'
'-x+1/2,-y+1/2,z+1/2'
'-x,y+1/2,z+1/2'
'x,-y+1/2,z+1/2'
loop_
_atom_site_label
_atom_site_type_symbol
_atom_site_fract_x
_atom_site_fract_y
_atom_site_fract_z
Nd1 Nd 0.077 0.168 0.000
Nd2 Nd 0.159 0.659 0.869
Nd3 Nd 0.250 0.151 0.722
Ag1 Ag 0.055 0.623 0.163
Pt1 Pt 0.000 0.000 0.307
Pt2 Pt 0.250 0.559 0.567
# Calculated total energy (eV per atom): -5.174
# Energy relative to the lowest polymorph listed for this composition (eV per atom): 0.057
# Spin magnetization (μB per cell): 0.000

***

# KBe2Pb | Alexandria | PBE | relaxed
data_KBe2Pb
_cell_length_a 6.918
_cell_length_b 8.559
_cell_length_c 3.187
_cell_angle_alpha 90.00
_cell_angle_beta 91.34
_cell_angle_gamma 90.00
_space_group_name_H-M_alt 'C 1 2/m 1'
_space_group_IT_number 12
loop_
_space_group_symop_operation_xyz
'x,y,z'
'-x,-y,-z'
'-x,y,-z'
'x,-y,z'
'x+1/2,y+1/2,z'
'-x+1/2,-y+1/2,-z'
'-x+1/2,y+1/2,-z'
'x+1/2,-y+1/2,z'
loop_
_atom_site_label
_atom_site_type_symbol
_atom_site_fract_x
_atom_site_fract_y
_atom_site_fract_z
K1 K 0.000 0.000 0.000
Be1 Be 0.250 0.250 0.500
Pb1 Pb 0.000 0.500 0.000
# Calculated total energy (eV per atom): -2.021
# Spin magnetization (μB per cell): 0.000

***

# Na2ZnW | Alexandria | PBE | relaxed
data_Na2ZnW
_cell_length_a 8.338
_cell_length_b 8.338
_cell_length_c 5.391
_cell_angle_alpha 90.00
_cell_angle_beta 90.00
_cell_angle_gamma 90.00
_space_group_name_H-M_alt 'I -4 2 d'
_space_group_IT_number 122
_space_group_name_Hall 'I -4 2bw'
loop_
_atom_site_label
_atom_site_type_symbol
_atom_site_fract_x
_atom_site_fract_y
_atom_site_fract_z
Na1 Na 0.216 0.250 0.125
Zn1 Zn 0.000 0.000 0.000
W1 W 0.000 0.000 0.500
# Calculated total energy (eV per atom): -2.878
# Energy relative to the lowest polymorph listed for this composition (eV per atom): 0.000
# Spin magnetization (μB per cell): 14.675

***

# GaReOs3 | Alexandria | PBE | relaxed
data_GaReOs3
_cell_length_a 4.409
_cell_length_b 4.409
_cell_length_c 4.409
_cell_angle_alpha 90.00
_cell_angle_beta 90.00
_cell_angle_gamma 90.00
_space_group_name_H-M_alt 'P m -3 m'
_space_group_IT_number 221
_space_group_name_Hall '-P 4 2 3'
loop_
_atom_site_label
_atom_site_type_symbol
_atom_site_fract_x
_atom_site_fract_y
_atom_site_fract_z
Ga1 Ga 0.000 0.000 0.000
Re1 Re 0.500 0.500 0.500
Os1 Os 0.000 0.000 0.500
# Calculated total energy (eV per atom): -7.746
# Energy relative to the lowest polymorph listed for this composition (eV per atom): 0.000
# Spin magnetization (μB per cell): 0.006

***

# Tm3U2Ru4 | Alexandria | PBE | relaxed
data_Tm3U2Ru4
_cell_length_a 10.719
_cell_length_b 4.191
_cell_length_c 8.807
_cell_angle_alpha 90.00
_cell_angle_beta 100.26
_cell_angle_gamma 90.00
_space_group_name_H-M_alt 'C 1 2/m 1'
_space_group_IT_number 12
loop_
_space_group_symop_operation_xyz
'x,y,z'
'-x,-y,-z'
'-x,y,-z'
'x,-y,z'
'x+1/2,y+1/2,z'
'-x+1/2,-y+1/2,-z'
'-x+1/2,y+1/2,-z'
'x+1/2,-y+1/2,z'
loop_
_atom_site_label
_atom_site_type_symbol
_atom_site_fract_x
_atom_site_fract_y
_atom_site_fract_z
Tm1 Tm 0.000 0.000 0.000
Tm2 Tm 0.125 0.500 0.387
U1 U 0.174 0.500 0.779
Ru1 Ru 0.093 0.000 0.634
Ru2 Ru 0.215 0.500 0.093
# Calculated total energy (eV per atom): -8.511
# Spin magnetization (μB per cell): 3.048

***

# Pr2Dy4ErTm2 | Alexandria | PBE | relaxed
data_Pr2Dy4ErTm2
_cell_length_a 6.168
_cell_length_b 6.172
_cell_length_c 7.964
_cell_angle_alpha 82.58
_cell_angle_beta 75.19
_cell_angle_gamma 80.57
_space_group_name_H-M_alt 'P -1'
_space_group_IT_number 2
loop_
_space_group_symop_operation_xyz
'x,y,z'
'-x,-y,-z'
loop_
_atom_site_label
_atom_site_type_symbol
_atom_site_fract_x
_atom_site_fract_y
_atom_site_fract_z
Pr1 Pr 0.167 0.331 0.332
Dy1 Dy 0.056 0.110 0.780
Dy2 Dy 0.278 0.554 0.889
Er1 Er 0.500 0.000 0.000
Tm1 Tm 0.392 0.777 0.444
# Calculated total energy (eV per atom): -4.585
# Spin magnetization (μB per cell): 0.000

***

# MgZr2Se | Alexandria | PBE | relaxed
data_MgZr2Se
_cell_length_a 4.331
_cell_length_b 4.331
_cell_length_c 4.383
_cell_angle_alpha 90.00
_cell_angle_beta 90.00
_cell_angle_gamma 90.00
_space_group_name_H-M_alt 'P 4/m m m'
_space_group_IT_number 123
_space_group_name_Hall '-P 4 2'
loop_
_atom_site_label
_atom_site_type_symbol
_atom_site_fract_x
_atom_site_fract_y
_atom_site_fract_z
Mg1 Mg 0.000 0.000 0.000
Zr1 Zr 0.000 0.500 0.500
Se1 Se 0.500 0.500 0.000
# E_form (uncorrected) (eV per atom): -0.192
# Calculated total energy (eV per atom): -5.736
# Energy relative to the lowest polymorph listed for this composition (eV per atom): 0.282
# Spin magnetization (μB per cell): 0.000

***

# Ce2ZnPd5 | Alexandria | PBE | relaxed
data_Ce2ZnPd5
_cell_length_a 9.911
_cell_length_b 6.518
_cell_length_c 5.902
_cell_angle_alpha 90.00
_cell_angle_beta 126.48
_cell_angle_gamma 90.00
_space_group_name_H-M_alt 'C 1 m 1'
_space_group_IT_number 8
loop_
_space_group_symop_operation_xyz
'x,y,z'
'x,-y,z'
'x+1/2,y+1/2,z'
'x+1/2,-y+1/2,z'
loop_
_atom_site_label
_atom_site_type_symbol
_atom_site_fract_x
_atom_site_fract_y
_atom_site_fract_z
Ce1 Ce 0.000 0.000 0.000
Ce2 Ce 0.020 0.500 0.520
Zn1 Zn 0.357 0.500 0.357
Pd1 Pd 0.020 0.500 0.020
Pd2 Pd 0.252 0.215 0.518
Pd3 Pd 0.252 0.215 0.987
# Calculated total energy (eV per atom): -5.531
# Spin magnetization (μB per cell): 3.013

***

# Ce2Al8Ru | Alexandria | PBE | relaxed
data_Ce2Al8Ru
_cell_length_a 4.330
_cell_length_b 4.330
_cell_length_c 11.370
_cell_angle_alpha 90.00
_cell_angle_beta 90.00
_cell_angle_gamma 90.00
_space_group_name_H-M_alt 'P 4/m m m'
_space_group_IT_number 123
_space_group_name_Hall '-P 4 2'
loop_
_atom_site_label
_atom_site_type_symbol
_atom_site_fract_x
_atom_site_fract_y
_atom_site_fract_z
Ce1 Ce 0.000 0.000 0.192
Al1 Al 0.000 0.500 0.000
Al2 Al 0.000 0.500 0.382
Al3 Al 0.500 0.500 0.193
Ru1 Ru 0.000 0.000 0.500
# Calculated total energy (eV per atom): -5.085
# Spin magnetization (μB per cell): 0.005

***

# VHgTeS2 | Alexandria | PBE | relaxed
data_VHgTeS2
_cell_length_a 4.402
_cell_length_b 4.402
_cell_length_c 6.243
_cell_angle_alpha 90.00
_cell_angle_beta 90.00
_cell_angle_gamma 90.00
_space_group_name_H-M_alt 'P 4/m m m'
_space_group_IT_number 123
_space_group_name_Hall '-P 4 2'
loop_
_atom_site_label
_atom_site_type_symbol
_atom_site_fract_x
_atom_site_fract_y
_atom_site_fract_z
V1 V 0.000 0.000 0.000
Hg1 Hg 0.000 0.000 0.500
Te1 Te 0.500 0.500 0.500
S1 S 0.000 0.500 0.000
# E_form (uncorrected) (eV per atom): 0.075
# Calculated total energy (eV per atom): -4.089
# Spin magnetization (μB per cell): 0.011

***

# Li2Ac2CuPd5 | Alexandria | PBE | relaxed
data_Li2Ac2CuPd5
_cell_length_a 9.682
_cell_length_b 9.682
_cell_length_c 3.935
_cell_angle_alpha 90.00
_cell_angle_beta 90.00
_cell_angle_gamma 90.00
_space_group_name_H-M_alt 'P 4/m b m'
_space_group_IT_number 127
_space_group_name_Hall '-P 4 2ab'
loop_
_atom_site_label
_atom_site_type_symbol
_atom_site_fract_x
_atom_site_fract_y
_atom_site_fract_z
Li1 Li 0.114 0.386 0.000
Ac1 Ac 0.184 0.684 0.000
Cu1 Cu 0.000 0.000 0.000
Pd1 Pd 0.000 0.500 0.500
Pd2 Pd 0.058 0.204 0.500
# Calculated total energy (eV per atom): -4.740
# Spin magnetization (μB per cell): 0.000